First-principles (GGA-PBE) data for a geometry-optimized Na4Er3TiS8 structure, as listed in Alexandria.

```
Na4Er3TiS8
1.0
3.868 2.233 6.671
-3.868 2.233 6.671
0.000 -4.466 6.671
Na Er Ti S
4 3 1 8
direct
0.000 0.000 0.000
0.000 0.500 0.500
0.500 0.000 0.500
0.500 0.500 0.000
0.000 0.000 0.500
0.000 0.500 0.000
0.500 0.000 0.000
0.500 0.500 0.500
0.243 0.243 0.243
0.256 0.731 0.731
0.269 0.269 0.744
0.269 0.744 0.269
0.731 0.256 0.731
0.731 0.731 0.256
0.744 0.269 0.269
0.757 0.757 0.757
```

The total magnetic moment comes out at 1.0 μB per formula unit. The value obtained for the theoretical density is 4.3 g cm⁻³. The calculation puts the formation energy from raw total energies at -1.6939 eV/atom. The value obtained for the density of states at the Fermi level is 0.340 states/eV/atom.

First-principles (GGA-PBE) data for a geometry-optimized Na2ErTlS4 structure, as listed in Alexandria.

```
Na2ErTlS4
1.0
6.882 0.000 0.000
0.000 3.930 0.000
-2.370 0.000 6.743
Na Er Tl S
2 1 1 4
direct
0.000 0.000 0.000
0.500 0.500 0.000
0.000 0.500 0.500
0.500 0.000 0.500
0.233 0.000 0.732
0.260 0.500 0.276
0.740 0.500 0.724
0.767 0.000 0.268
```

The total magnetic moment comes out at 0.0 μB per formula unit. The value obtained for the theoretical density is 5.0 g cm⁻³. The calculation puts the formation energy from raw total energies at -1.1639 eV/atom.

First-principles (GGA-PBE) data for a geometry-optimized NaErTm4S8 structure, as listed in Alexandria.

```
NaErTm4S8
1.0
3.997 2.307 6.542
-3.997 2.307 6.542
0.000 -4.615 6.542
Na Er Tm S
1 1 4 8
direct
0.000 0.000 0.000
0.630 0.630 0.630
0.112 0.630 0.630
0.251 0.251 0.251
0.630 0.112 0.630
0.630 0.630 0.112
0.383 0.383 0.383
0.383 0.383 0.852
0.383 0.852 0.383
0.409 0.865 0.865
0.852 0.383 0.383
0.864 0.864 0.864
0.865 0.409 0.865
0.865 0.865 0.409
```

The total magnetic moment comes out at 0.0 μB per formula unit. The value obtained for the theoretical density is 5.1 g cm⁻³. The calculation puts the formation energy from raw total energies at -1.9593 eV/atom. The value obtained for the density of states at the Fermi level is 0.000 states/eV/atom.